Arrangement 1

# LiSn2O2 (PBE, optimized geometry)
# D(E_F)	1.91	states/eV per cell
data_LiSn2O2
_chemical_formula_sum 'Li2 Sn4 O4'
_space_group_name_H-M_alt 'I 4/m m m'
_space_group_IT_number 139
_space_group_name_Hall '-I 4 2'
_cell_length_a 3.758
_cell_length_b 3.758
_cell_length_c 13.276
_cell_angle_alpha 90.00
_cell_angle_beta 90.00
_cell_angle_gamma 90.00
loop_
_atom_site_label
_atom_site_fract_x
_atom_site_fract_y
_atom_site_fract_z
_atom_site_occupancy
Li1 0.000 0.000 0.000 1
Sn1 0.000 0.000 0.342 1
O1 0.000 0.500 0.250 1


Arrangement 2

# LiSn2O2 (PBE, optimized geometry)
# D(E_F)	7.54	states/eV per cell
data_LiSn2O2
_chemical_formula_sum 'Li2 Sn4 O4'
_space_group_name_H-M_alt 'P 4/m b m'
_space_group_IT_number 127
_space_group_name_Hall '-P 4 2ab'
_cell_length_a 7.704
_cell_length_b 7.704
_cell_length_c 3.425
_cell_angle_alpha 90.00
_cell_angle_beta 90.00
_cell_angle_gamma 90.00
loop_
_atom_site_label
_atom_site_fract_x
_atom_site_fract_y
_atom_site_fract_z
_atom_site_occupancy
Li1 0.000 0.000 0.000 1
Sn1 0.154 0.346 0.000 1
O1 0.230 0.730 0.500 1


Short version: arrangement 2 is the least stable of them.


Arrangement 1

# LiSn3O (PBE, optimized geometry)
# D(E_F)	2.45	states/eV per cell
data_LiSn3O
_chemical_formula_sum 'Li1 Sn3 O1'
_space_group_name_H-M_alt 'P m -3 m'
_space_group_IT_number 221
_space_group_name_Hall '-P 4 2 3'
_cell_length_a 4.855
_cell_length_b 4.855
_cell_length_c 4.855
_cell_angle_alpha 90.00
_cell_angle_beta 90.00
_cell_angle_gamma 90.00
loop_
_atom_site_label
_atom_site_fract_x
_atom_site_fract_y
_atom_site_fract_z
_atom_site_occupancy
Li1 0.000 0.000 0.000 1
Sn1 0.000 0.000 0.500 1
O1 0.500 0.500 0.500 1


Arrangement 2

# LiSn3O (PBE, optimized geometry)
# D(E_F)	3.28	states/eV per cell
data_LiSn3O
_chemical_formula_sum 'Li1 Sn3 O1'
_space_group_name_H-M_alt 'P m -3 m'
_space_group_IT_number 221
_space_group_name_Hall '-P 4 2 3'
_cell_length_a 4.838
_cell_length_b 4.838
_cell_length_c 4.838
_cell_angle_alpha 90.00
_cell_angle_beta 90.00
_cell_angle_gamma 90.00
loop_
_atom_site_label
_atom_site_fract_x
_atom_site_fract_y
_atom_site_fract_z
_atom_site_occupancy
Li1 0.000 0.000 0.000 1
Sn1 0.000 0.500 0.500 1
O1 0.500 0.500 0.500 1


Short version: arrangement 1 is the least stable of them.